A plane-wave DFT calculation with PBE was carried out for FeIrCl2 after structural relaxation.

The value obtained for the total energy is -4.578 eV per atom. The calculation puts the formation energy from raw total energies at 0.68 eV per atom. The relative energy among the computed polymorphs is 0.748 eV per atom.

The space group is P4/mmm (No. 123) and the conventional cell measures 2.879, 2.879 and 10.915 Å, with angles of 90.00, 90.00 and 90.00 degrees. The distinct sites, in fractional coordinates, are Fe at (0.000, 0.000, 0.000), Ir at (0.000, 0.000, 0.500) and Cl at (0.500, 0.500, 0.141).

=====

A plane-wave DFT calculation with PBE was carried out for Ba3Hg after structural relaxation.

The value obtained for the total energy is -1.779 eV per atom. As for the formation energy from the elements: -0.26 eV/atom. The relative energy among the computed polymorphs is 0.000 eV per atom.

The space group is P4/mmm (No. 123) and the conventional cell measures 4.282, 4.282 and 11.080 Å, with angles of 90.00, 90.00 and 90.00 degrees. The distinct sites, in fractional coordinates, are Ba at (0.000, 0.000, 0.000), Ba at (0.500, 0.500, 0.320) and Hg at (0.000, 0.000, 0.500).

=====

A plane-wave DFT calculation with PBE was carried out for GeOs2F after structural relaxation.

The value obtained for the total energy is -6.480 eV per atom. The calculation puts the formation energy from raw total energies at 0.76 eV per atom. The relative energy among the computed polymorphs is 0.294 eV per atom.

The space group is I-42d (No. 122) and the conventional cell measures 6.597, 6.597 and 5.196 Å, with angles of 90.00, 90.00 and 90.00 degrees. The distinct sites, in fractional coordinates, are Ge at (0.000, 0.000, 0.000), Os at (0.207, 0.250, 0.625) and F at (0.000, 0.000, 0.500).

=====

A plane-wave DFT calculation with PBE was carried out for Nd4Se4Cl3 after structural relaxation.

The value obtained for the total energy is -5.308 eV per atom. The calculation puts the formation energy from raw total energies at -1.80 eV per atom.

The space group is Immm (No. 71) and the conventional cell measures 4.127, 8.093 and 17.915 Å, with angles of 90.00, 90.00 and 90.00 degrees. The distinct sites, in fractional coordinates, are Nd at (0.000, 0.000, 0.228), Nd at (0.000, 0.218, 0.500), Se at (0.000, 0.282, 0.337), Cl at (0.000, 0.000, 0.000) and Cl at (0.000, 0.500, 0.080).

=====

A plane-wave DFT calculation with PBE was carried out for HfCd after structural relaxation.

The value obtained for the total energy is -4.782 eV per atom. As for the formation energy from the elements: 0.65 eV/atom.

The space group is P4/mmm (No. 123) and the conventional cell measures 2.917, 2.917 and 11.795 Å, with angles of 90.00, 90.00 and 90.00 degrees. The distinct sites, in fractional coordinates, are Hf at (0.000, 0.000, 0.125) and Cd at (0.000, 0.000, 0.376).

=====

A plane-wave DFT calculation with PBE was carried out for Ac3Sb4Pt4 after structural relaxation.

The value obtained for the total energy is -5.802 eV per atom. The calculation puts the formation energy from raw total energies at -0.99 eV per atom.

The space group is Immm (No. 71) and the conventional cell measures 4.502, 4.752 and 27.016 Å, with angles of 90.00, 90.00 and 90.00 degrees. The distinct sites, in fractional coordinates, are Ac at (0.000, 0.000, 0.000), Ac at (0.000, 0.500, 0.144), Sb at (0.000, 0.000, 0.253), Sb at (0.000, 0.500, 0.402), Pt at (0.000, 0.000, 0.450) and Pt at (0.000, 0.500, 0.303).

=====

A plane-wave DFT calculation with PBE was carried out for CaEuAlAu after structural relaxation.

The value obtained for the total energy is -5.270 eV per atom. As for the formation energy from the elements: -0.45 eV/atom.

The space group is F-43m (No. 216) and the conventional cell measures 7.447, 7.447 and 7.447 Å, with angles of 90.00, 90.00 and 90.00 degrees. The distinct sites, in fractional coordinates, are Ca at (0.000, 0.000, 0.000), Eu at (0.000, 0.000, 0.500), Al at (0.250, 0.250, 0.750) and Au at (0.250, 0.250, 0.250).

=====

A plane-wave DFT calculation with PBE was carried out for Na2Sn7 after structural relaxation.

The value obtained for the total energy is -3.429 eV per atom. As for the formation energy from the elements: -0.02 eV/atom.

The space group is R-3m (No. 166, hexagonal axes) and the conventional cell measures 6.4879, 6.4879 and 45.7491 Å, with angles of 90.00, 90.00 and 120.00 degrees. The distinct sites, in fractional coordinates, are Na at (0.0000, 0.0000, 0.0438), Na at (0.0000, 0.0000, 0.1461), Sn at (0.0000, 0.0000, 0.2769), Sn at (0.0000, 0.0000, 0.3939), Sn at (0.0000, 0.0000, 0.5000), Sn at (0.0000, 0.5000, 0.0000) and Sn at (0.0131, 0.5065, 0.8859).

=====

A plane-wave DFT calculation with PBE was carried out for Sr2HfBeCd after structural relaxation.

The value obtained for the total energy is -2.845 eV per atom. As for the formation energy from the elements: 0.75 eV/atom. The relative energy among the computed polymorphs is 0.000 eV per atom.

The space group is P4/mmm (No. 123) and the conventional cell measures 5.855, 5.855 and 4.579 Å, with angles of 90.00, 90.00 and 90.00 degrees. The distinct sites, in fractional coordinates, are Sr at (0.000, 0.500, 0.000), Hf at (0.000, 0.000, 0.500), Be at (0.500, 0.500, 0.000) and Cd at (0.500, 0.500, 0.500).

=====

A plane-wave DFT calculation with PBE was carried out for MnAuSe2 after structural relaxation.

The value obtained for the total energy is -4.998 eV per atom. The calculation puts the formation energy from raw total energies at -0.14 eV per atom.

The space group is Immm (No. 71) and the conventional cell measures 3.604, 4.362 and 11.933 Å, with angles of 90.00, 90.00 and 90.00 degrees. The distinct sites, in fractional coordinates, are Mn at (0.000, 0.000, 0.000), Au at (0.000, 0.000, 0.500) and Se at (0.000, 0.500, 0.358).